CrAgAsF6: relaxed, PBE with a Hubbard U.

The structure belongs to space group P1 (No. 1); the cell edges are 4.717, 5.740 and 5.797 Å and the angles 63.83°, 88.27° and 89.29°. The asymmetric unit holds Cr at (0.000, 0.000, 0.000), Ag at (0.533, 0.665, 0.666), As at (0.035, 0.338, 0.341), F at (0.211, 0.287, 0.697), F at (0.212, 0.729, 0.942), F at (0.227, 0.048, 0.349), F at (0.761, 0.136, 0.569), F at (0.777, 0.711, 0.287) and F at (0.812, 0.294, 0.073).

The value obtained for the total moment is 0.4444 μB per atom. The final energy is -0.359 Ry per atom.